The following is a GGA-PBE calculation of an optimized crystal structure of CaInSn5, from Alexandria.

a b c (Å): 6.3209 8.8466 8.3969
angles (deg): 121.79 91.04 90.00
Atoms (fractional coordinates):
Ca 0.7500 0.2934 0.5000
Ca 0.2500 0.7066 0.5000
In 0.0000 0.0000 0.0000
In 0.5000 0.5000 0.0000
Sn 0.4962 0.7545 0.8650
Sn 0.4188 0.9289 0.2891
Sn 0.9962 0.6105 0.8650
Sn 0.7500 0.6742 0.5000
Sn 0.0812 0.1397 0.7109
Sn 0.9188 0.8603 0.2891
Sn 0.2500 0.3258 0.5000
Sn 0.0038 0.3895 0.1349
Sn 0.5812 0.0711 0.7109
Sn 0.5038 0.2455 0.1349

* SG: C2/c (15)
* magnetization: 0.00 μB/f.u.
* DOS(E_F): 0.444 states/eV per atom
* formation energy from the elements: -67.4 kJ/mol of formula units